Entry 1:
First-principles (PBE) data for crystalline Tb5Dy2Y4 at its relaxed geometry, as listed in the Alexandria database.

Calculated values
SG   Immm (71)
Uncorrected energy   -55.53 eV/cell
V   33.58 A^3/atom
E_form   5.6 kcal/mol of atoms

Cell lengths 3.5108, 9.0444, 12.6054 Å; angles 111.02, 98.00, 90.00 degrees
Sites, in units of the cell vectors:
Tb1 0.8542 0.0527 0.7084
Tb2 0.8542 0.6557 0.7084
Tb3 0.1458 0.3443 0.2916
Tb4 0.1458 0.9473 0.2916
Tb5 0.5000 0.0000 0.0000
Dy1 0.2684 0.2684 0.5367
Dy2 0.7316 0.7316 0.4633
Y1 0.0000 0.3088 0.0000
Y2 0.5981 0.5981 0.1962
Y3 0.0000 0.6912 0.0000
Y4 0.4019 0.4019 0.8038

Entry 2:
First-principles (PBE) data for crystalline DyGa12Cu4 at its relaxed geometry, as listed in the Alexandria database.

Calculated values
SG   Im-3 (204)
Uncorrected energy   -57.92 eV/cell
V   18.71 A^3/atom
E_form   -0.8 kcal/mol of atoms

Cell lengths 7.4486, 7.4486, 7.4486 Å; angles 109.47, 109.47, 109.47 degrees
Sites, in units of the cell vectors:
Dy1 0.0000 0.0000 0.0000
Ga1 0.8428 0.3457 0.1884
Ga2 0.3457 0.5029 0.1572
Ga3 0.8116 0.1572 0.6543
Ga4 0.3457 0.1884 0.8428
Ga5 0.1884 0.8428 0.3457
Ga6 0.6543 0.4971 0.8428
Ga7 0.5029 0.1572 0.3457
Ga8 0.4971 0.8428 0.6543
Ga9 0.6543 0.8116 0.1572
Ga10 0.8428 0.6543 0.4971
Ga11 0.1572 0.3457 0.5029
Ga12 0.1572 0.6543 0.8116
Cu1 0.0000 0.5000 0.0000
Cu2 0.5000 0.0000 0.0000
Cu3 0.5000 0.5000 0.5000
Cu4 0.0000 0.0000 0.5000

Entry 3:
First-principles (PBE) data for crystalline TlPAu2S at its relaxed geometry, as listed in the Alexandria database.

Calculated values
Formation energy (no corrections)   0.113 eV per atom
SG   P4/mmm (123)
Uncorrected energy   -17.89 eV/cell
V   22.96 A^3/atom

Cell lengths 4.7412, 5.1072, 4.7412 Å; angles 90.00, 90.00, 90.00 degrees
Sites, in units of the cell vectors:
P1 0.0000 0.0000 0.0000
Tl1 0.5000 0.5000 0.5000
Au1 0.0000 0.0000 0.5000
Au2 0.5000 0.0000 0.0000
S1 0.0000 0.5000 0.0000

Entry 4:
First-principles (PBE) data for crystalline KRb2Hg2Cl6 at its relaxed geometry, as listed in the Alexandria database.

Calculated values
Formation energy (no corrections)   -1.238 eV per atom
SG   C2/m (12)
Uncorrected energy   -28.33 eV/cell
V   37.23 A^3/atom

Cell lengths 8.0601, 7.5661, 8.5749 Å; angles 108.72, 90.00, 122.18 degrees
Sites, in units of the cell vectors:
K1 0.5000 0.0000 0.5000
Rb1 0.6986 0.3972 0.1467
Rb2 0.3014 0.6028 0.8533
Hg1 0.9647 0.9295 0.6391
Hg2 0.0353 0.0705 0.3609
Cl1 0.7545 0.5090 0.5561
Cl2 0.1857 0.8596 0.1876
Cl3 0.3260 0.1404 0.8124
Cl4 0.8143 0.1404 0.8124
Cl5 0.6740 0.8596 0.1876
Cl6 0.2455 0.4910 0.4439

Entry 5:
First-principles (PBE) data for crystalline Sr2SnBr at its relaxed geometry, as listed in the Alexandria database.

Calculated values
Formation energy (no corrections)   -1.073 eV per atom
SG   R-3m (166)
Uncorrected energy   -13.33 eV/cell
V   37.28 A^3/atom

Cell lengths 4.5950, 4.5950, 8.5759 Å; angles 74.46, 74.46, 60.00 degrees
Sites, in units of the cell vectors:
Sr1 0.2534 0.2534 0.2398
Sr2 0.7466 0.7466 0.7602
Sn1 0.0000 0.0000 0.0000
Br1 0.5000 0.5000 0.5000

Entry 6:
First-principles (PBE) data for crystalline Ba2SmRe3O12 at its relaxed geometry, as listed in the Alexandria database.

Calculated values
Formation energy (no corrections)   -2.107 eV per atom
SG   R-3m (166)
Uncorrected energy   -143.33 eV/cell
V   14.77 A^3/atom

Cell lengths 6.9983, 6.9983, 6.9983 Å; angles 64.41, 64.41, 64.41 degrees
Sites, in units of the cell vectors:
Ba1 0.6178 0.6178 0.6178
Ba2 0.3822 0.3822 0.3822
Sm1 0.0000 0.0000 0.0000
Re1 0.5000 0.0000 0.0000
Re2 0.0000 0.5000 0.0000
Re3 0.0000 0.0000 0.5000
O1 0.2833 0.2833 0.9053
O2 0.8754 0.8754 0.4066
O3 0.4066 0.8754 0.8754
O4 0.9053 0.2833 0.2833
O5 0.8754 0.4066 0.8754
O6 0.2833 0.9053 0.2833
O7 0.7167 0.7167 0.0947
O8 0.1246 0.1246 0.5934
O9 0.5934 0.1246 0.1246
O10 0.0947 0.7167 0.7167
O11 0.1246 0.5934 0.1246
O12 0.7167 0.0947 0.7167